Entry A
Material: LiAc2Pb2
Method: DFT, GGA-PBE
State: optimized geometry

```
LiAc2Pb2
1.0
-3.559 7.004 3.452
3.559 -7.004 3.452
3.559 7.004 -3.452
Li Ac Pb
2 4 4
direct
0.250 0.250 0.000 Li
0.750 0.750 0.000 Li
0.138 0.709 0.846 Ac
0.362 0.209 0.571 Ac
0.638 0.791 0.429 Ac
0.862 0.291 0.154 Ac
0.115 0.223 0.338 Pb
0.385 0.723 0.108 Pb
0.615 0.277 0.892 Pb
0.885 0.777 0.662 Pb
```

Properties
* V: 344 Å³ per cell
* space group: No. 72

=====

Entry B
Material: LiAc2Pb2
Method: DFT, GGA-PBE
State: optimized geometry

```
LiAc2Pb2
1.0
-2.434 3.376 5.110
2.434 -3.376 5.110
2.434 3.376 -5.110
Li Ac Pb
1 2 2
direct
0.000 0.000 0.000 Li
0.302 0.802 0.500 Ac
0.698 0.198 0.500 Ac
0.255 0.500 0.755 Pb
0.745 0.500 0.245 Pb
```

Properties
* V: 168 Å³ per cell
* space group: No. 71

=====

The most stable of them is entry A.

=====

Entry A
Material: LiAc4Pb2
Method: DFT, GGA-PBE
State: optimized geometry

```
LiAc4Pb2
1.0
2.899 1.674 9.447
-2.899 1.674 9.447
0.000 -3.347 9.447
Li Ac Pb
1 4 2
direct
0.000 0.000 0.000 Li
0.217 0.217 0.217 Ac
0.373 0.373 0.373 Ac
0.627 0.627 0.627 Ac
0.783 0.783 0.783 Ac
0.095 0.095 0.095 Pb
0.905 0.905 0.905 Pb
```

Properties
* V: 275 Å³ per cell
* space group: No. 166

=====

Entry B
Material: LiAc4Pb2
Method: DFT, GGA-PBE
State: optimized geometry

```
LiAc4Pb2
1.0
-2.700 2.700 9.148
2.700 -2.700 9.148
2.700 2.700 -9.148
Li Ac Pb
1 4 2
direct
0.000 0.000 0.000 Li
0.000 0.500 0.500 Ac
0.181 0.181 0.000 Ac
0.500 0.000 0.500 Ac
0.819 0.819 0.000 Ac
0.366 0.366 0.000 Pb
0.634 0.634 0.000 Pb
```

Properties
* V: 267 Å³ per cell
* space group: No. 139

=====

The most stable of them is entry A.

=====

Entry A
Material: Li3AcPb2
Method: DFT, GGA-PBE
State: optimized geometry

```
Li3AcPb2
1.0
4.835 0.000 0.000
-2.418 4.188 0.000
0.000 0.000 15.212
Li Ac Pb
6 2 4
direct
0.000 0.000 0.000 Li
0.000 0.000 0.500 Li
0.333 0.667 0.077 Li
0.333 0.667 0.423 Li
0.667 0.333 0.577 Li
0.667 0.333 0.923 Li
0.000 0.000 0.250 Ac
0.000 0.000 0.750 Ac
0.333 0.667 0.614 Pb
0.333 0.667 0.886 Pb
0.667 0.333 0.114 Pb
0.667 0.333 0.386 Pb
```

Properties
* V: 308 Å³ per cell
* space group: No. 194

=====

Entry B
Material: Li3AcPb2
Method: DFT, GGA-PBE
State: optimized geometry

```
Li3AcPb2
1.0
9.192 -2.366 0.000
9.192 2.366 0.000
-2.538 0.000 6.729
Li Ac Pb
6 2 4
direct
0.073 0.073 0.096 Li
0.315 0.315 0.619 Li
0.345 0.345 0.997 Li
0.655 0.655 0.003 Li
0.685 0.685 0.381 Li
0.927 0.927 0.904 Li
0.121 0.121 0.634 Ac
0.879 0.879 0.366 Ac
0.233 0.233 0.206 Pb
0.490 0.490 0.756 Pb
0.510 0.510 0.244 Pb
0.767 0.767 0.794 Pb
```

Properties
* V: 293 Å³ per cell
* space group: No. 12

=====

The most stable of them is entry B.

=====

Entry A
Material: LiAcTlPb
Method: DFT, GGA-PBE
State: optimized geometry

```
LiAcTlPb
1.0
4.174 -2.415 0.000
4.174 2.415 0.000
-2.786 0.000 5.890
Li Ac Tl Pb
1 1 1 1
direct
0.000 0.000 0.000 Li
0.496 0.496 0.489 Ac
0.277 0.277 0.832 Tl
0.713 0.713 0.140 Pb
```

Properties
* V: 119 Å³ per cell
* space group: No. 8

=====

Entry B
Material: LiAcTlPb
Method: DFT, GGA-PBE
State: optimized geometry

```
LiAcTlPb
1.0
0.000 3.935 3.935
3.935 0.000 3.935
3.935 3.935 0.000
Li Ac Tl Pb
1 1 1 1
direct
0.000 0.000 0.000 Li
0.500 0.500 0.500 Ac
0.250 0.250 0.250 Tl
0.750 0.750 0.750 Pb
```

Properties
* V: 122 Å³ per cell
* space group: No. 216

=====

The most stable of them is entry A.

=====

Entry A
Material: Li3AcPd3
Method: DFT, GGA-PBE
State: optimized geometry

```
Li3AcPd3
1.0
6.565 0.000 0.000
0.000 6.565 0.000
0.000 0.000 6.565
Li Ac Pd
6 2 6
direct
0.000 0.250 0.500 Li
0.000 0.750 0.500 Li
0.250 0.500 0.000 Li
0.500 0.000 0.250 Li
0.500 0.000 0.750 Li
0.750 0.500 0.000 Li
0.000 0.000 0.000 Ac
0.500 0.500 0.500 Ac
0.000 0.500 0.250 Pd
0.000 0.500 0.750 Pd
0.250 0.000 0.500 Pd
0.500 0.250 0.000 Pd
0.500 0.750 0.000 Pd
0.750 0.000 0.500 Pd
```

Properties
* V: 283 Å³ per cell
* space group: No. 223

=====

Entry B
Material: Li3AcPd3
Method: DFT, GGA-PBE
State: optimized geometry

```
Li3AcPd3
1.0
3.457 1.996 6.596
-3.457 1.996 6.596
0.000 -3.991 6.596
Li Ac Pd
6 2 6
direct
0.074 0.751 0.587 Li
0.249 0.413 0.926 Li
0.413 0.926 0.249 Li
0.587 0.074 0.751 Li
0.751 0.587 0.074 Li
0.926 0.249 0.413 Li
0.347 0.347 0.347 Ac
0.653 0.653 0.653 Ac
0.047 0.306 0.840 Pd
0.160 0.953 0.694 Pd
0.306 0.840 0.047 Pd
0.694 0.160 0.953 Pd
0.840 0.047 0.306 Pd
0.953 0.694 0.160 Pd
```

Properties
* V: 273 Å³ per cell
* space group: No. 148

=====

The most stable of them is entry B.

=====

Entry A
Material: Li2AcPd
Method: DFT, GGA-PBE
State: optimized geometry

```
Li2AcPd
1.0
0.000 3.474 3.474
3.474 0.000 3.474
3.474 3.474 0.000
Li Ac Pd
2 1 1
direct
0.250 0.250 0.250 Li
0.750 0.750 0.750 Li
0.000 0.000 0.000 Ac
0.500 0.500 0.500 Pd
```

Properties
* V: 84 Å³ per cell
* space group: No. 225

=====

Entry B
Material: Li2AcPd
Method: DFT, GGA-PBE
State: optimized geometry

```
Li2AcPd
1.0
3.806 0.000 0.000
0.000 3.806 0.000
0.000 0.000 6.054
Li Ac Pd
2 1 1
direct
0.000 0.000 0.182 Li
0.000 0.000 0.818 Li
0.500 0.500 0.500 Ac
0.500 0.500 0.000 Pd
```

Properties
* V: 88 Å³ per cell
* space group: No. 123

=====

Entry C
Material: Li2AcPd
Method: DFT, GGA-PBE
State: optimized geometry

```
Li2AcPd
1.0
4.194 0.000 0.000
0.000 8.243 0.000
-2.091 0.000 5.443
Li Ac Pd
4 2 2
direct
0.172 0.058 0.344 Li
0.172 0.442 0.344 Li
0.828 0.558 0.656 Li
0.828 0.942 0.656 Li
0.448 0.250 0.899 Ac
0.552 0.750 0.101 Ac
0.264 0.750 0.529 Pd
0.736 0.250 0.471 Pd
```

Properties
* V: 188 Å³ per cell
* space group: No. 11

=====

The most stable of them is entry C.